No. 1
Material: NaCo3S
Method: DFT, PBE-GGA
State: optimized geometry

Cell lengths 4.210, 4.210, 4.210 Å; angles 90.00, 90.00, 90.00 degrees
Each line ends with the local moment (μB).
Fractional coordinates of all 5 atoms:
Na: 0.500 0.500 0.500  -0.02
S: 0.000 0.000 0.000  0.06
Co: 0.000 0.500 0.000  1.39
Co: 0.000 0.000 0.500  1.20
Co: 0.500 0.000 0.000  1.58

Computed properties:
**Formation energy from raw total energies**: 0.239 eV/atom

No. 2
Material: Zr2CdW
Method: DFT, PBE-GGA
State: optimized geometry

Cell lengths 2.912, 2.912, 10.079 Å; angles 90.00, 90.00, 108.29 degrees
Fractional coordinates of all 4 atoms:
Cd: 0.000 0.000 0.515
W: 0.500 0.500 0.753
Zr: 0.000 0.000 0.978
Zr: 0.500 0.500 0.254

Computed properties:
**Energy of formation from the pure elements**: 23.76 kJ/mol of atoms

No. 3
Material: Cu2Ag
Method: DFT, PBE-GGA
State: optimized geometry

Cell lengths 5.555, 3.757, 8.070 Å; angles 90.00, 90.00, 90.00 degrees
Fractional coordinates of all 12 atoms:
Cu: 0.117 0.250 0.255
Cu: 0.120 0.250 0.581
Cu: 0.380 0.750 0.081
Cu: 0.383 0.750 0.755
Cu: 0.617 0.250 0.245
Cu: 0.620 0.250 0.919
Cu: 0.880 0.750 0.419
Cu: 0.883 0.750 0.745
Ag: 0.133 0.250 0.911
Ag: 0.367 0.750 0.411
Ag: 0.633 0.250 0.589
Ag: 0.867 0.750 0.089

Computed properties:
**Energy of formation from the pure elements**: 10.04 kJ/mol of atoms

No. 4
Material: Li2CrHgN
Method: DFT, PBE-GGA
State: optimized geometry

Cell lengths 4.292, 4.292, 3.750 Å; angles 90.00, 90.00, 90.00 degrees
Each line ends with the local moment (μB).
Fractional coordinates of all 5 atoms:
Cr: 0.000 0.000 0.500  2.78
Li: 0.000 0.500 0.000  0.01
Li: 0.500 0.000 0.000  0.01
Hg: 0.500 0.500 0.500  0.04
N: 0.000 0.000 0.000  -0.15

Computed properties:
**Formation energy from raw total energies**: -0.314 eV/atom

No. 5
Material: ZrTaPt2Au
Method: DFT, PBE-GGA
State: optimized geometry

Cell lengths 4.862, 5.031, 4.862 Å; angles 90.00, 90.00, 90.00 degrees
Each line ends with the local moment (μB).
Fractional coordinates of all 5 atoms:
Au: 0.000 0.500 0.000  -0.02
Zr: 0.000 0.000 0.000  -0.09
Pt: 0.000 0.000 0.500  -0.04
Pt: 0.500 0.000 0.000  -0.01
Ta: 0.500 0.500 0.500  1.35

Computed properties:
**Energy of formation from the pure elements**: 110.33 kJ/mol of atoms

No. 6
Material: LiCa2Pb8
Method: DFT, PBE-GGA
State: optimized geometry

Cell lengths 4.952, 4.952, 13.185 Å; angles 90.00, 90.00, 90.00 degrees
Fractional coordinates of all 11 atoms:
Li: 0.000 0.000 0.000
Ca: 0.000 0.000 0.314
Ca: 0.000 0.000 0.686
Pb: 0.000 0.500 0.500
Pb: 0.500 0.000 0.500
Pb: 0.500 0.500 0.311
Pb: 0.500 0.500 0.689
Pb: 0.000 0.500 0.127
Pb: 0.500 0.000 0.127
Pb: 0.000 0.500 0.873
Pb: 0.500 0.000 0.873

Computed properties:
**Energy of formation from the pure elements**: -26.03 kJ/mol of atoms

No. 7
Material: HoTm2Te
Method: DFT, PBE-GGA
State: optimized geometry

Cell lengths 3.826, 3.826, 9.928 Å; angles 78.89, 78.89, 60.00 degrees
Fractional coordinates of all 4 atoms:
Ho: 0.500 0.500 0.501
Tm: 0.073 0.073 0.781
Tm: 0.261 0.261 0.218
Te: 0.667 0.667 0.000

Computed properties:
**Formation energy from raw total energies**: -0.501 eV/atom

No. 8
Material: PrHo2Er2Tm
Method: DFT, PBE-GGA
State: optimized geometry

Cell lengths 3.508, 16.018, 6.894 Å; angles 90.00, 90.00, 90.00 degrees
Fractional coordinates of all 12 atoms:
Pr: 0.000 0.000 0.000
Pr: 0.500 0.500 0.500
Ho: 0.500 0.843 0.251
Ho: 0.500 0.157 0.749
Ho: 0.000 0.657 0.751
Ho: 0.000 0.343 0.249
Er: 0.500 0.157 0.251
Er: 0.000 0.657 0.249
Er: 0.500 0.843 0.749
Er: 0.000 0.343 0.751
Tm: 0.500 0.500 0.000
Tm: 0.000 0.000 0.500

Computed properties:
**Energy of formation from the pure elements**: 16.29 kJ/mol of atoms

No. 9
Material: Ba4CdN
Method: DFT, PBE-GGA
State: optimized geometry

Cell lengths 7.854, 7.867, 10.572 Å; angles 111.80, 111.76, 90.11 degrees
Fractional coordinates of all 12 atoms:
Ba: 0.292 0.944 0.604
Ba: 0.945 0.812 0.104
Ba: 0.188 0.341 0.396
Ba: 0.340 0.708 0.896
Ba: 0.708 0.056 0.396
Ba: 0.812 0.659 0.604
Ba: 0.055 0.188 0.896
Ba: 0.660 0.292 0.104
Cd: 0.375 0.625 0.250
Cd: 0.625 0.375 0.750
N: 0.875 0.125 0.250
N: 0.125 0.875 0.750

Computed properties:
**Formation energy from raw total energies**: -0.262 eV/atom

No. 10
Material: PrDyGe
Method: DFT, PBE-GGA
State: optimized geometry

Cell lengths 4.305, 4.782, 4.782 Å; angles 120.00, 90.00, 90.00 degrees
Fractional coordinates of all 3 atoms:
Pr: 0.637 0.667 0.333
Ge: 0.251 0.333 0.667
Dy: 0.111 0.000 0.000

Computed properties:
**Energy of formation from the pure elements**: -40.39 kJ/mol of atoms

No. 11
Material: AsSe2BrCl
Method: DFT, PBE-GGA
State: optimized geometry

Cell lengths 5.117, 5.117, 5.012 Å; angles 90.00, 90.00, 90.00 degrees
Each line ends with the local moment (μB).
Fractional coordinates of all 5 atoms:
As: 0.500 0.500 0.500  -0.25
Se: 0.000 0.500 0.000  0.26
Se: 0.500 0.000 0.000  0.26
Br: 0.000 0.000 0.500  -0.02
Cl: 0.000 0.000 0.000  0.10

Computed properties:
**Formation energy from raw total energies**: 1.009 eV/atom

No. 12
Material: SmDy8Er6
Method: DFT, PBE-GGA
State: optimized geometry

Cell lengths 8.976, 8.976, 8.569 Å; angles 58.41, 58.41, 60.00 degrees
Fractional coordinates of all 15 atoms:
Sm: 0.000 0.000 0.000
Dy: 0.255 0.280 0.575
Dy: 0.720 0.111 0.425
Dy: 0.111 0.745 0.425
Dy: 0.577 0.577 0.270
Dy: 0.423 0.423 0.730
Dy: 0.889 0.255 0.575
Dy: 0.280 0.889 0.575
Dy: 0.745 0.720 0.425
Er: 0.461 0.893 0.880
Er: 0.107 0.234 0.120
Er: 0.234 0.539 0.120
Er: 0.766 0.461 0.880
Er: 0.893 0.766 0.880
Er: 0.539 0.107 0.120

Computed properties:
**Energy of formation from the pure elements**: 12.91 kJ/mol of atoms